Record 1
The following is a GGA-PBE calculation of a geometry-optimized RuCl structure, from the Alexandria database.

Computed properties:
space-group type	F-43m (216)
magnetic moment	0.00	μB/f.u.
offset from the most stable computed form	820	meV/atom
VASP energy	-4.6766	eV per atom
formation energy from raw total energies	0.885	eV/atom

Lattice parameters (Å, degrees): 3.7900 3.7900 3.7900 60.00 60.00 60.00
Positions (direct):
Ru: 0.0000 0.0000 0.0000
Cl: 0.2500 0.2500 0.2500

Record 2
The following is a GGA-PBE calculation of a geometry-optimized RuCl2 structure, from the Alexandria database.

Computed properties:
space-group type	I4/mcm (140)
magnetic moment	0.00	μB/f.u.
VASP energy	-4.0437	eV per atom
formation energy from raw total energies	0.279	eV/atom

Lattice parameters (Å, degrees): 5.1854 5.1854 5.1854 108.28 108.28 111.87
Positions (direct):
Ru: 0.2500 0.2500 0.0000
Ru: 0.7500 0.7500 0.0000
Cl: 0.2056 0.7056 0.9113
Cl: 0.2944 0.2056 0.5000
Cl: 0.7056 0.7944 0.5000
Cl: 0.7944 0.2944 0.0887

| no. | Fermi-level density of states (states/eV/cell) |
| --- | --- |
| 1 | 2.685 |
| 2 | 5.151 |